CaZnSnPb2 | PBE-GGA | optimized geometry

## Properties
ρ (g cm⁻³): 6.7
Electronic total energy (eV per atom): -2.89
Crystal system: tetragonal
M_tot (Bohr magnetons per cell): 0.0

a b c (Å): 5.449 5.449 5.346
angles (deg): 90.00 90.00 90.00
Fractional positions:
Ca 0.000 0.000 0.000
Zn 0.500 0.500 0.500
Sn 0.500 0.500 0.000
Pb 0.000 0.500 0.500
Pb 0.500 0.000 0.500